[1]
The following is a PBE calculation of a relaxed structure of Ti2TlV, from Alexandria.

Structure (POSCAR):
```
Ti2TlV
1.0
-0.657 -3.119 0.718
3.162 -0.746 -0.348
0.998 1.257 6.373
Ti Tl V
2 1 1
Direct
0.000 0.000 0.787
0.000 0.000 0.213
0.500 0.500 0.500
0.500 0.500 0.000
```

Output
* calculated density: 8.309 g cm⁻³
* energy above the most stable polymorph in this dataset: 0.0 meV per atom
* N(E_F): 1.155 states/eV/atom
* space-group type: P4/mmm, No. 123
* ΔE_f: 21 meV per atom

[2]
The following is a PBE calculation of a relaxed structure of Y2TiTlV, from Alexandria.

Structure (POSCAR):
```
Y2TiTlV
1.0
5.701 0.000 0.000
0.000 5.058 0.000
0.000 0.000 5.701
Ti Tl Y V
1 1 2 1
Direct
0.500 0.500 0.500
0.000 0.000 0.000
0.500 0.000 0.000
0.000 0.000 0.500
0.000 0.500 0.000
```

Output
* calculated density: 4.858 g cm⁻³
* N(E_F): 1.276 states/eV/atom
* space-group type: P4/mmm, No. 123
* ΔE_f: 1080 meV per atom

[3]
The following is a PBE calculation of a relaxed structure of TiTl2W, from Alexandria.

Structure (POSCAR):
```
TiTl2W
1.0
-2.280 -2.297 3.530
-3.390 2.252 2.525
-4.597 -1.238 -0.526
Ti Tl W
1 2 1
Direct
0.000 0.000 0.000
0.250 0.250 0.250
0.750 0.750 0.750
0.500 0.500 0.500
```

Output
* calculated density: 13.692 g cm⁻³
* energy above the most stable polymorph in this dataset: 0.0 meV per atom
* N(E_F): 1.408 states/eV/atom
* space-group type: Fm-3m, No. 225
* ΔE_f: 800 meV per atom

[4]
The following is a PBE calculation of a relaxed structure of TiTl3W, from Alexandria.

Structure (POSCAR):
```
TiTl3W
1.0
-1.746 -4.933 -1.095
3.621 -0.413 -3.911
3.524 -2.019 3.476
Tl W Ti
3 1 1
Direct
0.000 0.000 0.500
0.000 0.500 0.000
0.500 0.000 0.000
0.000 0.000 0.000
0.500 0.500 0.500
```

Output
* calculated density: 9.184 g cm⁻³
* energy above the most stable polymorph in this dataset: 0.0 meV per atom
* N(E_F): 0.985 states/eV/atom
* space-group type: Pm-3m, No. 221
* ΔE_f: 1232 meV per atom

[5]
The following is a PBE calculation of a relaxed structure of TiTlW3, from Alexandria.

Structure (POSCAR):
```
TiTlW3
1.0
4.649 0.000 0.000
0.000 4.649 0.000
0.000 0.000 4.649
W Tl Ti
3 1 1
Direct
0.000 0.000 0.500
0.000 0.500 0.000
0.500 0.000 0.000
0.500 0.500 0.500
0.000 0.000 0.000
```

Output
* calculated density: 13.281 g cm⁻³
* energy above the most stable polymorph in this dataset: 0.0 meV per atom
* N(E_F): 1.180 states/eV/atom
* space-group type: Pm-3m, No. 221
* ΔE_f: 1903 meV per atom

[6]
The following is a PBE calculation of a relaxed structure of Ti2TlW, from Alexandria.

Structure (POSCAR):
```
Ti2TlW
1.0
-0.504 -1.377 3.146
4.307 0.757 1.021
-1.091 4.052 1.599
W Ti Tl
1 2 1
Direct
0.500 0.000 0.000
0.000 0.500 0.000
0.000 0.000 0.500
0.500 0.500 0.500
```

Output
* calculated density: 11.478 g cm⁻³
* energy above the most stable polymorph in this dataset: 152.6 meV per atom
* N(E_F): 0.937 states/eV/atom
* space-group type: P4/mmm, No. 123
* ΔE_f: 126 meV per atom

[7]
The following is a PBE calculation of a relaxed structure of Ti2TlW, from Alexandria.

Structure (POSCAR):
```
Ti2TlW
1.0
-0.875 3.669 -1.338
-3.777 -0.445 1.249
0.094 5.344 8.604
Ti W Tl
4 2 2
Direct
0.375 0.392 0.750
0.608 0.125 0.250
0.142 0.625 0.250
0.875 0.858 0.750
0.500 0.500 0.000
0.250 0.750 0.500
0.750 0.250 0.500
0.000 0.000 0.000
```

Output
* calculated density: 10.316 g cm⁻³
* energy above the most stable polymorph in this dataset: 900.8 meV per atom
* N(E_F): 1.050 states/eV/atom
* space-group type: I-42d, No. 122
* ΔE_f: 875 meV per atom

[8]
The following is a PBE calculation of a relaxed structure of Ti2TlW, from Alexandria.

Structure (POSCAR):
```
Ti2TlW
1.0
3.308 0.000 0.000
0.000 3.308 0.000
0.000 0.000 6.559
Ti W Tl
2 1 1
Direct
0.000 0.000 0.217
0.000 0.000 0.783
0.500 0.500 0.000
0.500 0.500 0.500
```

Output
* calculated density: 11.199 g cm⁻³
* energy above the most stable polymorph in this dataset: 0.0 meV per atom
* N(E_F): 0.891 states/eV/atom
* space-group type: P4/mmm, No. 123
* ΔE_f: -26 meV per atom

[9]
The following is a PBE calculation of a relaxed structure of Ti2TlW, from Alexandria.

Structure (POSCAR):
```
Ti2TlW
1.0
0.000 3.275 3.275
3.275 0.000 3.275
3.275 3.275 0.000
Tl Ti W
1 2 1
Direct
0.500 0.500 0.500
0.750 0.750 0.750
0.250 0.250 0.250
0.000 0.000 0.000
```

Output
* calculated density: 11.442 g cm⁻³
* energy above the most stable polymorph in this dataset: 163.7 meV per atom
* N(E_F): 0.716 states/eV/atom
* space-group type: Fm-3m, No. 225
* ΔE_f: 137 meV per atom

[10]
The following is a PBE calculation of a relaxed structure of TiTl2W, from Alexandria.

Structure (POSCAR):
```
TiTl2W
1.0
-5.892 2.004 -4.450
-4.366 -5.283 3.401
-5.965 0.338 1.473
Tl W Ti
4 2 2
Direct
0.875 0.875 0.750
0.125 0.625 0.250
0.625 0.125 0.250
0.375 0.375 0.750
0.000 0.000 0.000
0.750 0.250 0.500
0.250 0.750 0.500
0.500 0.500 0.000
```

Output
* calculated density: 12.393 g cm⁻³
* energy above the most stable polymorph in this dataset: 207.2 meV per atom
* N(E_F): 0.306 states/eV/atom
* space-group type: I-42d, No. 122
* ΔE_f: 1007 meV per atom

[11]
The following is a PBE calculation of a relaxed structure of Y2TiTl, from Alexandria.

Structure (POSCAR):
```
Y2TiTl
1.0
-1.594 2.290 1.890
-3.051 -0.682 1.257
3.217 -3.767 10.283
Ti Tl Y
1 1 2
Direct
0.000 0.000 0.000
0.500 0.500 0.500
0.087 0.087 0.738
0.913 0.913 0.262
```

Output
* calculated density: 6.457 g cm⁻³
* energy above the most stable polymorph in this dataset: 380.3 meV per atom
* N(E_F): 1.195 states/eV/atom
* space-group type: R-3m, No. 166
* ΔE_f: 339 meV per atom

[12]
The following is a PBE calculation of a relaxed structure of YTiTl3, from Alexandria.

Structure (POSCAR):
```
YTiTl3
1.0
-3.177 -4.164 -0.698
1.586 -0.367 -5.027
3.913 -3.232 1.471
Tl Y Ti
3 1 1
Direct
0.000 0.000 0.500
0.500 0.000 0.000
0.000 0.500 0.000
0.500 0.500 0.500
0.000 0.000 0.000
```

Output
* calculated density: 8.441 g cm⁻³
* energy above the most stable polymorph in this dataset: 0.0 meV per atom
* N(E_F): 0.414 states/eV/atom
* space-group type: Pm-3m, No. 221
* ΔE_f: 274 meV per atom